# 1
Here is an optimized crystal structure of Er6CdSe4 from Alexandria via LeMat-Bulk. Energies are from PBE.

Summary:
E_form (uncorrected) in eV per atom: -1.2990

a = 4.0278 Å, b = 6.9390 Å, c = 20.5953 Å
α = 90.00°, β = 90.00°, γ = 106.87°
Last column: nearest neighbours and their distance in Å.
Fractional positions:
Er 0.5000 0.0000 0.5000  6 Se 2.78-2.85
Er 0.2305 0.4611 0.5915  5 Se 2.83-2.92
Er 0.0473 0.0945 0.3363  3 Se 2.84-2.87, 2 Cd 3.12
Er 0.5000 0.0000 0.0000  6 Se 2.78-2.85
Er 0.9527 0.9055 0.6637  3 Se 2.84-2.87, 2 Cd 3.12
Er 0.7695 0.5389 0.4085  5 Se 2.83-2.92
Er 0.6577 0.3155 0.7500  2 Se 2.78, 2 Cd 3.08
Er 0.3423 0.6845 0.2500  2 Se 2.78, 2 Cd 3.08
Er 0.2305 0.4611 0.9085  5 Se 2.83-2.92
Er 0.0473 0.0945 0.1637  3 Se 2.84-2.87, 2 Cd 3.12
Er 0.7695 0.5389 0.0915  5 Se 2.83-2.92
Er 0.9527 0.9055 0.8363  3 Se 2.84-2.87, 2 Cd 3.12
Cd 0.3332 0.6664 0.7500  6 Er 3.08-3.12
Cd 0.6668 0.3336 0.2500  6 Er 3.08-3.12
Se 0.1401 0.2801 0.4622  6 Er 2.85-2.92
Se 0.1401 0.2801 0.0378  6 Er 2.85-2.92
Se 0.4111 0.8222 0.3777  6 Er 2.78-2.84
Se 0.8599 0.7199 0.9622  6 Er 2.85-2.92
Se 0.4111 0.8222 0.1223  6 Er 2.78-2.84
Se 0.5889 0.1778 0.6223  6 Er 2.78-2.84
Se 0.8599 0.7199 0.5378  6 Er 2.85-2.92
Se 0.5889 0.1778 0.8777  6 Er 2.78-2.84

---

# 2
Here is an optimized crystal structure of Er6Te3P2C from Alexandria via LeMat-Bulk. Energies are from PBE.

Summary:
E_form (uncorrected) in eV per atom: -1.3142

a = 6.9313 Å, b = 6.9313 Å, c = 7.3056 Å
α = 99.08°, β = 99.08°, γ = 119.96°
Last column: nearest neighbours and their distance in Å.
Fractional positions:
Te 0.1736 0.8264 0.5000  6 Er 3.06-3.19
Te 0.8264 0.1736 0.5000  6 Er 3.06-3.19
Te 0.5000 0.5000 0.5000  6 Er 3.05-3.21
Er 0.7598 0.7598 0.2052  1 C 2.57, 2 P 2.78
Er 0.2402 0.2402 0.7948  1 C 2.57, 2 P 2.78
Er 0.6255 0.9338 0.8008  1 C 2.54, 2 P 2.77-2.78
Er 0.3745 0.0662 0.1992  1 C 2.54, 2 P 2.77-2.78
Er 0.0662 0.3745 0.1992  1 C 2.54, 2 P 2.77-2.78
Er 0.9338 0.6255 0.8008  1 C 2.54, 2 P 2.77-2.78
P 0.3342 0.6658 0.0000  6 Er 2.77-2.78
P 0.6658 0.3342 0.0000  6 Er 2.77-2.78
C 0.0000 0.0000 0.0000  6 Er 2.54-2.57